Arrangement one

DFT (PBE-GGA) results for an optimized crystal structure of LaTi2Te2.

crystal system	tetragonal
magnetization	0.000	μB/atom

a = 8.210 Å, b = 8.210 Å, c = 3.513 Å
α = 90.00°, β = 90.00°, γ = 90.00°
Space group P4/mbm (No. 127)
Inequivalent atoms, fractional coordinates:
1 La 0.000 0.000 0.000 (multiplicity 2)
2 Ti 0.131 0.369 0.500 (multiplicity 4)
3 Te 0.147 0.647 0.000 (multiplicity 4)



Arrangement two

DFT (PBE-GGA) results for an optimized crystal structure of LaTi2Te2.

crystal system	tetragonal
magnetization	0.093	μB/atom

a = 8.041 Å, b = 8.041 Å, c = 3.582 Å
α = 90.00°, β = 90.00°, γ = 90.00°
Space group P4/mbm (No. 127)
Inequivalent atoms, fractional coordinates:
1 La 0.000 0.000 0.000 (multiplicity 2)
2 Ti 0.120 0.380 0.000 (multiplicity 4)
3 Te 0.167 0.667 0.500 (multiplicity 4)



Computed energies relative to the best structure, in meV/atom: arrangement one 0; arrangement two 58



Arrangement one

DFT (PBE-GGA) results for an optimized crystal structure of LaTi3Te.

crystal system	cubic
magnetization	0.000	μB/atom

a = 4.865 Å, b = 4.865 Å, c = 4.865 Å
α = 90.00°, β = 90.00°, γ = 90.00°
Space group Pm-3m (No. 221)
Inequivalent atoms, fractional coordinates:
1 La 0.000 0.000 0.000 (multiplicity 1)
2 Ti 0.000 0.000 0.500 (multiplicity 3)
3 Te 0.500 0.500 0.500 (multiplicity 1)



Arrangement two

DFT (PBE-GGA) results for an optimized crystal structure of LaTi3Te.

crystal system	cubic
magnetization	0.230	μB/atom

a = 5.105 Å, b = 5.105 Å, c = 5.105 Å
α = 90.00°, β = 90.00°, γ = 90.00°
Space group Pm-3m (No. 221)
Inequivalent atoms, fractional coordinates:
1 La 0.000 0.000 0.000 (multiplicity 1)
2 Ti 0.000 0.500 0.500 (multiplicity 3)
3 Te 0.500 0.500 0.500 (multiplicity 1)



Computed energies relative to the best structure, in meV/atom: arrangement one 697; arrangement two 0



Arrangement one

DFT (PBE-GGA) results for an optimized crystal structure of LaZr2TiTe.

crystal system	tetragonal
magnetization	0.000	μB/atom

a = 5.287 Å, b = 5.287 Å, c = 5.808 Å
α = 90.00°, β = 90.00°, γ = 90.00°
Space group P4/mmm (No. 123)
Inequivalent atoms, fractional coordinates:
1 La 0.000 0.000 0.000 (multiplicity 1)
2 Zr 0.000 0.500 0.500 (multiplicity 2)
3 Ti 0.500 0.500 0.000 (multiplicity 1)
4 Te 0.000 0.000 0.500 (multiplicity 1)



Arrangement two

DFT (PBE-GGA) results for an optimized crystal structure of LaZr2TiTe.

crystal system	tetragonal
magnetization	0.121	μB/atom

a = 4.911 Å, b = 4.911 Å, c = 5.841 Å
α = 90.00°, β = 90.00°, γ = 90.00°
Space group P4/mmm (No. 123)
Inequivalent atoms, fractional coordinates:
1 La 0.000 0.000 0.000 (multiplicity 1)
2 Zr 0.000 0.500 0.500 (multiplicity 2)
3 Ti 0.000 0.000 0.500 (multiplicity 1)
4 Te 0.500 0.500 0.000 (multiplicity 1)



Computed energies relative to the best structure, in meV/atom: arrangement one 292; arrangement two 0



Arrangement one

DFT (PBE-GGA) results for an optimized crystal structure of LaTlTe3.

crystal system	cubic
magnetization	0.000	μB/atom

a = 5.685 Å, b = 5.685 Å, c = 5.685 Å
α = 90.00°, β = 90.00°, γ = 90.00°
Space group Pm-3m (No. 221)
Inequivalent atoms, fractional coordinates:
1 La 0.000 0.000 0.000 (multiplicity 1)
2 Tl 0.500 0.500 0.500 (multiplicity 1)
3 Te 0.000 0.500 0.500 (multiplicity 3)



Arrangement two

DFT (PBE-GGA) results for an optimized crystal structure of LaTlTe3.

crystal system	cubic
magnetization	0.000	μB/atom

a = 6.177 Å, b = 6.177 Å, c = 6.177 Å
α = 90.00°, β = 90.00°, γ = 90.00°
Space group Pm-3m (No. 221)
Inequivalent atoms, fractional coordinates:
1 La 0.000 0.000 0.000 (multiplicity 1)
2 Tl 0.500 0.500 0.500 (multiplicity 1)
3 Te 0.000 0.000 0.500 (multiplicity 3)



Computed energies relative to the best structure, in meV/atom: arrangement one 268; arrangement two 0



Arrangement one

DFT (PBE-GGA) results for an optimized crystal structure of LaTl2Te.

crystal system	tetragonal
magnetization	0.001	μB/atom

a = 4.403 Å, b = 4.403 Å, c = 6.502 Å
α = 90.00°, β = 90.00°, γ = 90.00°
Space group P4/mmm (No. 123)
Inequivalent atoms, fractional coordinates:
1 La 0.000 0.000 0.000 (multiplicity 1)
2 Tl 0.500 0.500 0.255 (multiplicity 2)
3 Te 0.000 0.000 0.500 (multiplicity 1)



Arrangement two

DFT (PBE-GGA) results for an optimized crystal structure of LaTl2Te.

crystal system	orthorhombic
magnetization	0.000	μB/atom

a = 4.132 Å, b = 6.305 Å, c = 9.935 Å
α = 90.00°, β = 90.00°, γ = 90.00°
Space group Cmmm (No. 65)
Inequivalent atoms, fractional coordinates:
1 La 0.000 0.000 0.000 (multiplicity 2)
2 Tl 0.000 0.500 0.268 (multiplicity 4)
3 Te 0.000 0.000 0.500 (multiplicity 2)



Computed energies relative to the best structure, in meV/atom: arrangement one 0; arrangement two 312



Arrangement one

DFT (PBE-GGA) results for an optimized crystal structure of LaTl2Te.

crystal system	tetragonal
magnetization	0.000	μB/atom

a = 9.085 Å, b = 9.085 Å, c = 6.452 Å
α = 90.00°, β = 90.00°, γ = 90.00°
Space group I-42d (No. 122)
Inequivalent atoms, fractional coordinates:
1 La 0.000 0.000 0.000 (multiplicity 4)
2 Tl 0.238 0.250 0.625 (multiplicity 8)
3 Te 0.000 0.000 0.500 (multiplicity 4)



Arrangement two

DFT (PBE-GGA) results for an optimized crystal structure of LaTl2Te.

crystal system	trigonal
magnetization	0.072	μB/atom

a = 4.0472 Å, b = 4.0472 Å, c = 28.0397 Å
α = 90.00°, β = 90.00°, γ = 120.00°
Space group R-3m (No. 166, hexagonal axes)
Inequivalent atoms, fractional coordinates:
1 La 0.0000 0.0000 0.0000 (multiplicity 3)
2 Tl 0.0000 0.0000 0.2410 (multiplicity 6)
3 Te 0.0000 0.0000 0.5000 (multiplicity 3)



Arrangement three

DFT (PBE-GGA) results for an optimized crystal structure of LaTl2Te.

crystal system	orthorhombic
magnetization	0.000	μB/atom

a = 4.932 Å, b = 4.945 Å, c = 9.879 Å
α = 90.00°, β = 90.00°, γ = 90.00°
Space group Imm2 (No. 44)
Inequivalent atoms, fractional coordinates:
1 La 0.000 0.000 0.000 (multiplicity 2)
2 Tl 0.000 0.000 0.501 (multiplicity 2)
3 Tl 0.000 0.500 0.250 (multiplicity 2)
4 Te 0.000 0.500 0.750 (multiplicity 2)



Arrangement four

DFT (PBE-GGA) results for an optimized crystal structure of LaTl2Te.

crystal system	orthorhombic
magnetization	0.000	μB/atom

a = 4.648 Å, b = 4.860 Å, c = 5.298 Å
α = 90.00°, β = 90.00°, γ = 90.00°
Space group Pmmm (No. 47)
Inequivalent atoms, fractional coordinates:
1 La 0.000 0.000 0.000 (multiplicity 1)
2 Tl 0.000 0.500 0.500 (multiplicity 1)
3 Tl 0.500 0.000 0.500 (multiplicity 1)
4 Te 0.500 0.500 0.000 (multiplicity 1)



Computed energies relative to the best structure, in meV/atom: arrangement one 226; arrangement two 469; arrangement three 20; arrangement four 0



Arrangement one

DFT (PBE-GGA) results for an optimized crystal structure of LaTl2Te.

crystal system	trigonal
magnetization	0.000	μB/atom

a = 4.3015 Å, b = 4.3015 Å, c = 27.3188 Å
α = 90.00°, β = 90.00°, γ = 120.00°
Space group R3m (No. 160, hexagonal axes)
Inequivalent atoms, fractional coordinates:
1 La 0.0000 0.0000 0.0000 (multiplicity 3)
2 Tl 0.0000 0.0000 0.2472 (multiplicity 3)
3 Tl 0.0000 0.0000 0.4946 (multiplicity 3)
4 Te 0.0000 0.0000 0.7375 (multiplicity 3)



Arrangement two

DFT (PBE-GGA) results for an optimized crystal structure of LaTl2Te.

crystal system	cubic
magnetization	0.000	μB/atom

a = 7.939 Å, b = 7.939 Å, c = 7.939 Å
α = 90.00°, β = 90.00°, γ = 90.00°
Space group Fm-3m (No. 225)
Inequivalent atoms, fractional coordinates:
1 La 0.000 0.000 0.000 (multiplicity 4)
2 Tl 0.250 0.250 0.250 (multiplicity 8)
3 Te 0.000 0.000 0.500 (multiplicity 4)



Computed energies relative to the best structure, in meV/atom: arrangement one 0; arrangement two 217



Arrangement one

DFT (PBE-GGA) results for an optimized crystal structure of LaTl2Te.

crystal system	monoclinic
magnetization	0.000	μB/atom

a = 4.290 Å, b = 4.285 Å, c = 7.060 Å
α = 90.00°, β = 90.17°, γ = 90.00°
Space group Pm (No. 6)
Inequivalent atoms, fractional coordinates:
1 La 0.000 0.000 0.000 (multiplicity 1)
2 Tl 0.496 0.500 0.295 (multiplicity 1)
3 Tl 0.994 0.000 0.509 (multiplicity 1)
4 Te 0.499 0.500 0.833 (multiplicity 1)



Arrangement two

DFT (PBE-GGA) results for an optimized crystal structure of LaTl2Te.

crystal system	cubic
magnetization	0.000	μB/atom

a = 7.884 Å, b = 7.884 Å, c = 7.884 Å
α = 90.00°, β = 90.00°, γ = 90.00°
Space group F-43m (No. 216)
Inequivalent atoms, fractional coordinates:
1 La 0.000 0.000 0.000 (multiplicity 4)
2 Tl 0.000 0.000 0.500 (multiplicity 4)
3 Tl 0.250 0.250 0.750 (multiplicity 4)
4 Te 0.250 0.250 0.250 (multiplicity 4)



Computed energies relative to the best structure, in meV/atom: arrangement one 0; arrangement two 141